DFT (PBE) results for Dy2ErSb2Te2 after structural relaxation.

abc: 5.6916 5.6916 8.5777
angles: 109.38 109.38 90.00
With the nearest neighbours (Å) after each atom.
Positions (direct):
1 Te 0.8022 0.8022 0.6043  1 Dy 2.89, 1 Er 3.00
2 Te 0.1978 0.1978 0.3957  1 Dy 2.89, 1 Er 3.00
3 Dy 0.6117 0.6117 0.2235  1 Te 2.89
4 Dy 0.3883 0.3883 0.7765  1 Te 2.89
5 Sb 0.0000 0.5000 0.0000  2 Er 2.85
6 Sb 0.5000 0.0000 0.0000  2 Er 2.85
7 Er 0.0000 0.0000 0.0000  4 Sb 2.85, 2 Te 3.00

Computed properties:
* total DFT energy (no corrections): -4.71 eV per atom
* Fermi-level density of states: 0.717 states/eV per atom
* formation energy (no corrections): -0.665 eV per atom